First-principles (PBE) data for crystalline GdLuAgPb at its relaxed geometry, as listed in Alexandria.

Properties
- SG = F-43m (216)
- DOS(E_F) (states/eV/f.u.) = 2.5
- magnetization (μB/f.u.) = 7.91
- raw total energy (eV per atom) = -6.603

Lattice parameters (Å, degrees): 5.2588 5.2588 5.2588 60.00 60.00 60.00
Closest atoms and distances in Å follow each position.
Positions (direct):
Gd 0.5000 0.5000 0.5000  4 Pb 3.22, 4 Ag 3.22
Ag 0.2500 0.2500 0.2500  4 Gd 3.22, 4 Lu 3.22
Pb 0.7500 0.7500 0.7500  4 Lu 3.22, 4 Gd 3.22
Lu 0.0000 0.0000 0.0000  4 Pb 3.22, 4 Ag 3.22